1.
Material: Cd3HgPd
Method: DFT, GGA-PBE
State: relaxed

Energy relative to the elements   -0.171 eV per atom
SG   Pmmm

Cell: 3.129 4.609 7.694 Å, 90.00 90.00 90.00°
Positions (direct):
Cd 0.000 0.000 0.000
Cd 0.000 0.500 0.301
Cd 0.000 0.500 0.699
Hg 0.500 0.000 0.500
Pd 0.500 0.500 0.000

2.
Material: Cd3HgPd4
Method: DFT, GGA-PBE
State: relaxed

Energy relative to the elements   -0.355 eV per atom
SG   C2/m

Cell: 15.715 4.317 4.317 Å, 90.00 105.78 90.00°
Positions (direct):
Cd 0.000 0.000 0.000
Cd 0.250 0.000 0.250
Cd 0.250 0.500 0.750
Cd 0.500 0.500 0.000
Cd 0.750 0.000 0.750
Cd 0.750 0.500 0.250
Hg 0.000 0.500 0.500
Hg 0.500 0.000 0.500
Pd 0.126 0.000 0.626
Pd 0.126 0.500 0.126
Pd 0.374 0.000 0.874
Pd 0.374 0.500 0.374
Pd 0.626 0.000 0.126
Pd 0.626 0.500 0.626
Pd 0.874 0.000 0.374
Pd 0.874 0.500 0.874